# DyLuAg2 (PBE, optimized geometry)
# - Size of the total moment: 0.00 Bohr magnetons per cell
# - Distance to the lowest polymorph of the same formula: 0.0000 eV/atom
# - Total DFT energy (no corrections): -4.036 eV/atom
# - Crystal system: tetragonal
# - Symmetry: No. 123
data_DyLuAg2
_cell_length_a 3.567
_cell_length_b 3.567
_cell_length_c 7.326
_cell_angle_alpha 90.00
_cell_angle_beta 90.00
_cell_angle_gamma 90.00
_space_group_name_H-M_alt 'P 1'
_space_group_IT_number 1
loop_
_space_group_symop_operation_xyz
'x,y,z'
loop_
_atom_site_label
_atom_site_type_symbol
_atom_site_fract_x
_atom_site_fract_y
_atom_site_fract_z
Lu1 Lu 0.500 0.500 0.000
Ag1 Ag 0.000 0.000 0.240
Dy1 Dy 0.500 0.500 0.500
Ag2 Ag 0.000 0.000 0.760